w | Entry from Alexandria via LeMat-Bulk: an optimized crystal structure of Nd2GdPb (GGA-PBE).

Lattice parameters (Å, degrees): 3.5417 3.5417 12.4053 81.79 81.79 60.00
Last column: nearest neighbours and their distance in Å.
Sites, in units of the cell vectors:
Pb: 0.5000 0.5000 0.5000  6 Nd 3.43, 6 Pb 3.54
Gd: 0.0000 0.0000 0.0000  2 Nd 3.36, 6 Gd 3.54
Nd: 0.0916 0.0916 0.7252  1 Gd 3.36, 3 Pb 3.43, 6 Nd 3.54
Nd: 0.9084 0.9084 0.2748  1 Gd 3.36, 3 Pb 3.43, 6 Nd 3.54

=====

x | Entry from Alexandria via LeMat-Bulk: an optimized crystal structure of Nd2GdPb (GGA-PBE).

Lattice parameters (Å, degrees): 4.9324 4.9888 4.9888 90.00 90.00 90.00
Last column: nearest neighbours and their distance in Å.
Sites, in units of the cell vectors:
Pb: 0.5000 0.0000 0.0000  8 Nd 3.51, 4 Gd 3.53
Gd: 0.5000 0.5000 0.5000  8 Nd 3.51, 4 Pb 3.53
Nd: 0.0000 0.0000 0.5000  4 Gd 3.51, 4 Pb 3.51, 4 Nd 3.53
Nd: 0.0000 0.5000 0.0000  4 Gd 3.51, 4 Pb 3.51, 4 Nd 3.53

=====

Relative energies, in meV/atom, with the most stable structure set to zero: w 369; x 0.